A relaxed Ho6Te3AsPb2 crystal. Source: Alexandria, functional PBE.

Output
The calculation puts the calculated total energy at -124.044 eV per cell. Its formation energy without anion corrections is -1.09 eV per atom. The total magnetization comes out at 0.00 μB per cell.

Lattice parameters (Å, degrees): 18.9300 4.3358 8.7125 90.00 103.29 90.00
Last column: nearest neighbours and their distance in Å.
Space group C2/m (No. 12)
Unique sites:
Ho 0.0020 0.0000 0.2287 (multiplicity 4)  2 As 2.94, 1 Pb 3.03, 3 Te 3.13-3.21
Ho 0.1572 0.5000 0.0831 (multiplicity 4)  1 As 2.90, 2 Pb 3.03, 3 Te 3.11-3.23
Ho 0.1676 0.5000 0.5763 (multiplicity 4)  3 Pb 3.04-3.06, 3 Te 3.09-3.12
Te 0.0000 0.5000 0.5000 (multiplicity 2)  6 Ho 3.09-3.21
Te 0.1674 0.0000 0.8338 (multiplicity 4)  6 Ho 3.11-3.23
As 0.0000 0.5000 0.0000 (multiplicity 2)  6 Ho 2.90-2.94
Pb 0.1664 0.0000 0.3307 (multiplicity 4)  6 Ho 3.03-3.06